DFT (GGA-PBEsol) results for an optimized crystal structure of CdPbAu2.

a b c (Å): 9.347 3.618 5.163
angles (deg): 90.00 104.62 90.00
Space group Cm (No. 8)
Symmetry-distinct sites (fractional):
Cd  0.000  0.000  0.000 (multiplicity 2)
Pb  0.228  0.000  0.671 (multiplicity 2)
Au  0.240  0.500  0.185 (multiplicity 2)
Au  0.478  0.000  0.423 (multiplicity 2)

DFT total energy	-26.2	eV for the cell shown
spin magnetization	0.000	μB/atom